<w>
A plane-wave DFT calculation with GGA-PBE was carried out for an optimized crystal structure of BeAlBPd.

The structure in CIF format:
```
data_BeAlBPd
_chemical_formula_sum 'Be4 Al4 B4 Pd4'
_space_group_name_H-M_alt 'F -4 3 m'
_space_group_IT_number 216
_space_group_name_Hall 'F -4 2 3'
_cell_length_a 5.585
_cell_length_b 5.585
_cell_length_c 5.585
_cell_angle_alpha 90.00
_cell_angle_beta 90.00
_cell_angle_gamma 90.00
loop_
_atom_site_label
_atom_site_type_symbol
_atom_site_fract_x
_atom_site_fract_y
_atom_site_fract_z
_atom_site_occupancy
Be1 Be 0.000 0.000 0.000 1
Al1 Al 0.250 0.250 0.750 1
B1 B 0.000 0.000 0.500 1
Pd1 Pd 0.250 0.250 0.250 1
```



<x>
A plane-wave DFT calculation with GGA-PBE was carried out for an optimized crystal structure of BeAlBPd.

The structure in CIF format:
```
data_BeAlBPd
_chemical_formula_sum 'Be4 Al4 B4 Pd4'
_space_group_name_H-M_alt 'F -4 3 m'
_space_group_IT_number 216
_space_group_name_Hall 'F -4 2 3'
_cell_length_a 5.651
_cell_length_b 5.651
_cell_length_c 5.651
_cell_angle_alpha 90.00
_cell_angle_beta 90.00
_cell_angle_gamma 90.00
loop_
_atom_site_label
_atom_site_type_symbol
_atom_site_fract_x
_atom_site_fract_y
_atom_site_fract_z
_atom_site_occupancy
Be1 Be 0.000 0.000 0.000 1
Al1 Al 0.250 0.250 0.250 1
B1 B 0.250 0.250 0.750 1
Pd1 Pd 0.000 0.000 0.500 1
```



Q: What are the energies relative to the best structure? A: <w> 0.000; <x> 0.150, in eV/atom.



<w>
A plane-wave DFT calculation with GGA-PBE was carried out for an optimized crystal structure of AlCdB4.

The structure in CIF format:
```
data_AlCdB4
_chemical_formula_sum 'Al2 Cd2 B8'
_space_group_name_H-M_alt 'I m m m'
_space_group_IT_number 71
_space_group_name_Hall '-I 2 2'
_cell_length_a 3.107
_cell_length_b 5.397
_cell_length_c 7.105
_cell_angle_alpha 90.00
_cell_angle_beta 90.00
_cell_angle_gamma 90.00
loop_
_atom_site_label
_atom_site_type_symbol
_atom_site_fract_x
_atom_site_fract_y
_atom_site_fract_z
_atom_site_occupancy
Al1 Al 0.000 0.000 0.000 1
Cd1 Cd 0.000 0.000 0.500 1
B1 B 0.000 0.333 0.256 1
```



<x>
A plane-wave DFT calculation with GGA-PBE was carried out for an optimized crystal structure of AlCdB4.

The structure in CIF format:
```
data_AlCdB4
_chemical_formula_sum 'Al1 Cd1 B4'
_space_group_name_H-M_alt 'P 6/m m m'
_space_group_IT_number 191
_space_group_name_Hall '-P 6 2'
_cell_length_a 3.0647
_cell_length_b 3.0647
_cell_length_c 7.2617
_cell_angle_alpha 90.00
_cell_angle_beta 90.00
_cell_angle_gamma 120.00
loop_
_atom_site_label
_atom_site_type_symbol
_atom_site_fract_x
_atom_site_fract_y
_atom_site_fract_z
_atom_site_occupancy
Al1 Al 0.0000 0.0000 0.0000 1
Cd1 Cd 0.0000 0.0000 0.5000 1
B1 B 0.3333 0.6667 0.2118 1
```



Q: What are the energies relative to the best structure? A: <w> 0.138; <x> 0.000, in eV/atom.



<w>
A plane-wave DFT calculation with GGA-PBE was carried out for an optimized crystal structure of AlCoB4.

The structure in CIF format:
```
data_AlCoB4
_chemical_formula_sum 'Al1 Co1 B4'
_space_group_name_H-M_alt 'P 6/m m m'
_space_group_IT_number 191
_space_group_name_Hall '-P 6 2'
_cell_length_a 2.9770
_cell_length_b 2.9770
_cell_length_c 6.2029
_cell_angle_alpha 90.00
_cell_angle_beta 90.00
_cell_angle_gamma 120.00
loop_
_atom_site_label
_atom_site_type_symbol
_atom_site_fract_x
_atom_site_fract_y
_atom_site_fract_z
_atom_site_occupancy
Al1 Al 0.0000 0.0000 0.0000 1
Co1 Co 0.0000 0.0000 0.5000 1
B1 B 0.3333 0.6667 0.2566 1
```



<x>
A plane-wave DFT calculation with GGA-PBE was carried out for an optimized crystal structure of AlCoB4.

The structure in CIF format:
```
data_AlCoB4
_chemical_formula_sum 'Al2 Co2 B8'
_space_group_name_H-M_alt 'I m m m'
_space_group_IT_number 71
_space_group_name_Hall '-I 2 2'
_cell_length_a 2.977
_cell_length_b 5.127
_cell_length_c 6.336
_cell_angle_alpha 90.00
_cell_angle_beta 90.00
_cell_angle_gamma 90.00
loop_
_atom_site_label
_atom_site_type_symbol
_atom_site_fract_x
_atom_site_fract_y
_atom_site_fract_z
_atom_site_occupancy
Al1 Al 0.000 0.000 0.000 1
Co1 Co 0.000 0.000 0.500 1
B1 B 0.000 0.332 0.253 1
```



Q: What are the energies relative to the best structure? A: <w> 0.007; <x> 0.000, in eV/atom.



<w>
A plane-wave DFT calculation with GGA-PBE was carried out for an optimized crystal structure of AlFeB4.

The structure in CIF format:
```
data_AlFeB4
_chemical_formula_sum 'Al2 Fe2 B8'
_space_group_name_H-M_alt 'I m m m'
_space_group_IT_number 71
_space_group_name_Hall '-I 2 2'
_cell_length_a 2.968
_cell_length_b 5.130
_cell_length_c 6.358
_cell_angle_alpha 90.00
_cell_angle_beta 90.00
_cell_angle_gamma 90.00
loop_
_atom_site_label
_atom_site_type_symbol
_atom_site_fract_x
_atom_site_fract_y
_atom_site_fract_z
_atom_site_occupancy
Al1 Al 0.000 0.000 0.000 1
Fe1 Fe 0.000 0.000 0.500 1
B1 B 0.000 0.333 0.253 1
```



<x>
A plane-wave DFT calculation with GGA-PBE was carried out for an optimized crystal structure of AlFeB4.

The structure in CIF format:
```
data_AlFeB4
_chemical_formula_sum 'Al1 Fe1 B4'
_space_group_name_H-M_alt 'P 6/m m m'
_space_group_IT_number 191
_space_group_name_Hall '-P 6 2'
_cell_length_a 2.9717
_cell_length_b 2.9717
_cell_length_c 6.4276
_cell_angle_alpha 90.00
_cell_angle_beta 90.00
_cell_angle_gamma 120.00
loop_
_atom_site_label
_atom_site_type_symbol
_atom_site_fract_x
_atom_site_fract_y
_atom_site_fract_z
_atom_site_occupancy
Al1 Al 0.0000 0.0000 0.0000 1
Fe1 Fe 0.0000 0.0000 0.5000 1
B1 B 0.3333 0.6667 0.2505 1
```



Q: What are the energies relative to the best structure? A: <w> 0.000; <x> 0.005, in eV/atom.



<w>
A plane-wave DFT calculation with GGA-PBE was carried out for an optimized crystal structure of GdAlB.

The structure in CIF format:
```
data_GdAlB
_chemical_formula_sum 'Gd4 Al4 B4'
_space_group_name_H-M_alt 'F -4 3 m'
_space_group_IT_number 216
_space_group_name_Hall 'F -4 2 3'
_cell_length_a 6.053
_cell_length_b 6.053
_cell_length_c 6.053
_cell_angle_alpha 90.00
_cell_angle_beta 90.00
_cell_angle_gamma 90.00
loop_
_atom_site_label
_atom_site_type_symbol
_atom_site_fract_x
_atom_site_fract_y
_atom_site_fract_z
_atom_site_occupancy
Gd1 Gd 0.000 0.000 0.000 1
Al1 Al 0.250 0.250 0.750 1
B1 B 0.000 0.000 0.500 1
```



<x>
A plane-wave DFT calculation with GGA-PBE was carried out for an optimized crystal structure of GdAlB.

The structure in CIF format:
```
data_GdAlB
_chemical_formula_sum 'Gd4 Al4 B4'
_space_group_name_H-M_alt 'F -4 3 m'
_space_group_IT_number 216
_space_group_name_Hall 'F -4 2 3'
_cell_length_a 5.930
_cell_length_b 5.930
_cell_length_c 5.930
_cell_angle_alpha 90.00
_cell_angle_beta 90.00
_cell_angle_gamma 90.00
loop_
_atom_site_label
_atom_site_type_symbol
_atom_site_fract_x
_atom_site_fract_y
_atom_site_fract_z
_atom_site_occupancy
Gd1 Gd 0.000 0.000 0.000 1
Al1 Al 0.000 0.000 0.500 1
B1 B 0.250 0.250 0.750 1
```



Q: What are the energies relative to the best structure? A: <w> 0.787; <x> 0.000, in eV/atom.



<w>
A plane-wave DFT calculation with GGA-PBE was carried out for an optimized crystal structure of HoAlB4.

The structure in CIF format:
```
data_HoAlB4
_chemical_formula_sum 'Ho2 Al2 B8'
_space_group_name_H-M_alt 'I m m m'
_space_group_IT_number 71
_space_group_name_Hall '-I 2 2'
_cell_length_a 3.183
_cell_length_b 5.233
_cell_length_c 7.619
_cell_angle_alpha 90.00
_cell_angle_beta 90.00
_cell_angle_gamma 90.00
loop_
_atom_site_label
_atom_site_type_symbol
_atom_site_fract_x
_atom_site_fract_y
_atom_site_fract_z
_atom_site_occupancy
Ho1 Ho 0.000 0.000 0.000 1
Al1 Al 0.000 0.000 0.500 1
B1 B 0.000 0.328 0.259 1
```



<x>
A plane-wave DFT calculation with GGA-PBE was carried out for an optimized crystal structure of HoAlB4.

The structure in CIF format:
```
data_HoAlB4
_chemical_formula_sum 'Ho1 Al1 B4'
_space_group_name_H-M_alt 'P 6/m m m'
_space_group_IT_number 191
_space_group_name_Hall '-P 6 2'
_cell_length_a 3.1133
_cell_length_b 3.1133
_cell_length_c 7.1489
_cell_angle_alpha 90.00
_cell_angle_beta 90.00
_cell_angle_gamma 120.00
loop_
_atom_site_label
_atom_site_type_symbol
_atom_site_fract_x
_atom_site_fract_y
_atom_site_fract_z
_atom_site_occupancy
Ho1 Ho 0.0000 0.0000 0.0000 1
Al1 Al 0.0000 0.0000 0.5000 1
B1 B 0.3333 0.6667 0.2782 1
```



Q: What are the energies relative to the best structure? A: <w> 0.027; <x> 0.000, in eV/atom.



<w>
A plane-wave DFT calculation with GGA-PBE was carried out for an optimized crystal structure of HoAlB.

The structure in CIF format:
```
data_HoAlB
_chemical_formula_sum 'Ho4 Al4 B4'
_space_group_name_H-M_alt 'F -4 3 m'
_space_group_IT_number 216
_space_group_name_Hall 'F -4 2 3'
_cell_length_a 6.264
_cell_length_b 6.264
_cell_length_c 6.264
_cell_angle_alpha 90.00
_cell_angle_beta 90.00
_cell_angle_gamma 90.00
loop_
_atom_site_label
_atom_site_type_symbol
_atom_site_fract_x
_atom_site_fract_y
_atom_site_fract_z
_atom_site_occupancy
Ho1 Ho 0.000 0.000 0.000 1
Al1 Al 0.250 0.250 0.750 1
B1 B 0.250 0.250 0.250 1
```



<x>
A plane-wave DFT calculation with GGA-PBE was carried out for an optimized crystal structure of HoAlB.

The structure in CIF format:
```
data_HoAlB
_chemical_formula_sum 'Ho4 Al4 B4'
_space_group_name_H-M_alt 'F -4 3 m'
_space_group_IT_number 216
_space_group_name_Hall 'F -4 2 3'
_cell_length_a 5.986
_cell_length_b 5.986
_cell_length_c 5.986
_cell_angle_alpha 90.00
_cell_angle_beta 90.00
_cell_angle_gamma 90.00
loop_
_atom_site_label
_atom_site_type_symbol
_atom_site_fract_x
_atom_site_fract_y
_atom_site_fract_z
_atom_site_occupancy
Ho1 Ho 0.000 0.000 0.000 1
Al1 Al 0.250 0.250 0.750 1
B1 B 0.000 0.000 0.500 1
```



<y>
A plane-wave DFT calculation with GGA-PBE was carried out for an optimized crystal structure of HoAlB.

The structure in CIF format:
```
data_HoAlB
_chemical_formula_sum 'Ho4 Al4 B4'
_space_group_name_H-M_alt 'F -4 3 m'
_space_group_IT_number 216
_space_group_name_Hall 'F -4 2 3'
_cell_length_a 5.848
_cell_length_b 5.848
_cell_length_c 5.848
_cell_angle_alpha 90.00
_cell_angle_beta 90.00
_cell_angle_gamma 90.00
loop_
_atom_site_label
_atom_site_type_symbol
_atom_site_fract_x
_atom_site_fract_y
_atom_site_fract_z
_atom_site_occupancy
Ho1 Ho 0.000 0.000 0.000 1
Al1 Al 0.000 0.000 0.500 1
B1 B 0.250 0.250 0.750 1
```



Q: What are the energies relative to the best structure? A: <w> 1.056; <x> 0.834; <y> 0.000, in eV/atom.



<w>
A plane-wave DFT calculation with GGA-PBE was carried out for an optimized crystal structure of MgAlNiB.

The structure in CIF format:
```
data_MgAlNiB
_chemical_formula_sum 'Mg4 Al4 Ni4 B4'
_space_group_name_H-M_alt 'F -4 3 m'
_space_group_IT_number 216
_space_group_name_Hall 'F -4 2 3'
_cell_length_a 5.759
_cell_length_b 5.759
_cell_length_c 5.759
_cell_angle_alpha 90.00
_cell_angle_beta 90.00
_cell_angle_gamma 90.00
loop_
_atom_site_label
_atom_site_type_symbol
_atom_site_fract_x
_atom_site_fract_y
_atom_site_fract_z
_atom_site_occupancy
Mg1 Mg 0.000 0.000 0.000 1
Al1 Al 0.250 0.250 0.750 1
Ni1 Ni 0.250 0.250 0.250 1
B1 B 0.000 0.000 0.500 1
```



<x>
A plane-wave DFT calculation with GGA-PBE was carried out for an optimized crystal structure of MgAlNiB.

The structure in CIF format:
```
data_MgAlNiB
_chemical_formula_sum 'Mg4 Al4 Ni4 B4'
_space_group_name_H-M_alt 'F -4 3 m'
_space_group_IT_number 216
_space_group_name_Hall 'F -4 2 3'
_cell_length_a 5.766
_cell_length_b 5.766
_cell_length_c 5.766
_cell_angle_alpha 90.00
_cell_angle_beta 90.00
_cell_angle_gamma 90.00
loop_
_atom_site_label
_atom_site_type_symbol
_atom_site_fract_x
_atom_site_fract_y
_atom_site_fract_z
_atom_site_occupancy
Mg1 Mg 0.000 0.000 0.000 1
Al1 Al 0.000 0.000 0.500 1
Ni1 Ni 0.250 0.250 0.250 1
B1 B 0.250 0.250 0.750 1
```



<y>
A plane-wave DFT calculation with GGA-PBE was carried out for an optimized crystal structure of MgAlNiB.

The structure in CIF format:
```
data_MgAlNiB
_chemical_formula_sum 'Mg4 Al4 Ni4 B4'
_space_group_name_H-M_alt 'F -4 3 m'
_space_group_IT_number 216
_space_group_name_Hall 'F -4 2 3'
_cell_length_a 5.768
_cell_length_b 5.768
_cell_length_c 5.768
_cell_angle_alpha 90.00
_cell_angle_beta 90.00
_cell_angle_gamma 90.00
loop_
_atom_site_label
_atom_site_type_symbol
_atom_site_fract_x
_atom_site_fract_y
_atom_site_fract_z
_atom_site_occupancy
Mg1 Mg 0.000 0.000 0.000 1
Al1 Al 0.250 0.250 0.250 1
Ni1 Ni 0.000 0.000 0.500 1
B1 B 0.250 0.250 0.750 1
```



Q: What are the energies relative to the best structure? A: <w> 0.238; <x> 0.000; <y> 0.129, in eV/atom.